Record 1
The following is a DFT calculation (PBE) of Ca4Ni after structural relaxation.

a = 8.0969 Å, b = 8.0969 Å, c = 8.0969 Å
α = 60.00°, β = 60.00°, γ = 60.00°
Last column: nearest neighbours and their distance in Å.
Atoms (fractional coordinates):
Ca 0.2325 0.7558 0.7558  1 Ni 2.59
Ca 0.2442 0.2442 0.2442  1 Ni 2.59
Ca 0.2442 0.2442 0.7675  1 Ni 2.59
Ca 0.2442 0.7675 0.2442  1 Ni 2.59
Ca 0.7558 0.2325 0.7558  1 Ni 2.59
Ca 0.7558 0.7558 0.2325  1 Ni 2.59
Ca 0.7558 0.7558 0.7558  1 Ni 2.59
Ca 0.7675 0.2442 0.2442  1 Ni 2.59
Ni 0.3750 0.3750 0.3750  4 Ca 2.59
Ni 0.6250 0.6250 0.6250  4 Ca 2.59

Calculated formation energy   0.209 eV/atom
Total magnetization   0.0 μB/cell
Space group   No. 227
Excess energy over the best structure of this formula in the dataset   253 meV/atom

***

Record 2
The following is a DFT calculation (PBE) of LiInGa2 after structural relaxation.

a = 4.2210 Å, b = 4.2210 Å, c = 4.3540 Å
α = 90.00°, β = 90.00°, γ = 90.00°
Last column: nearest neighbours and their distance in Å.
Atoms (fractional coordinates):
Li 0.0000 0.0000 0.0000  4 In 2.98, 8 Ga 3.03
In 0.5000 0.5000 0.0000  4 Li 2.98, 8 Ga 3.03
Ga 0.0000 0.5000 0.5000  4 Ga 2.98, 4 In 3.03, 4 Li 3.03
Ga 0.5000 0.0000 0.5000  4 Ga 2.98, 4 In 3.03, 4 Li 3.03

Calculated formation energy   -0.126 eV/atom
Total magnetization   0.0 μB/cell
Space group   No. 123

***

Record 3
The following is a DFT calculation (PBE) of K2Tl7Bi after structural relaxation.

a = 8.6847 Å, b = 8.6847 Å, c = 8.6847 Å
α = 60.00°, β = 60.00°, γ = 60.00°
Last column: nearest neighbours and their distance in Å.
Atoms (fractional coordinates):
K 0.2500 0.2500 0.2500  12 Tl 4.34
K 0.7500 0.7500 0.7500  12 Tl 4.34
Tl 0.0000 0.0000 0.0000  6 Tl 3.07
Tl 0.2500 0.2500 0.7500  1 Bi 3.07, 1 Tl 3.07
Tl 0.2500 0.7500 0.2500  1 Bi 3.07, 1 Tl 3.07
Tl 0.2500 0.7500 0.7500  1 Bi 3.07, 1 Tl 3.07
Tl 0.7500 0.2500 0.2500  1 Bi 3.07, 1 Tl 3.07
Tl 0.7500 0.2500 0.7500  1 Bi 3.07, 1 Tl 3.07
Tl 0.7500 0.7500 0.2500  1 Bi 3.07, 1 Tl 3.07
Bi 0.5000 0.5000 0.5000  6 Tl 3.07

Calculated formation energy   0.142 eV/atom
Total magnetization   0.0 μB/cell
Space group   No. 225

***

Record 4
The following is a DFT calculation (PBE) of CaTa2Hg after structural relaxation.

a = 2.9971 Å, b = 2.9971 Å, c = 9.8329 Å
α = 90.00°, β = 90.00°, γ = 104.24°
Last column: nearest neighbours and their distance in Å.
Atoms (fractional coordinates):
Ca 0.0000 0.0000 0.0000  4 Ca 3.00, 2 Hg 3.14, 2 Ta 3.32
Ta 0.0000 0.0000 0.5041  6 Ta 2.80-3.00, 2 Hg 3.03
Ta 0.5000 0.5000 0.7184  6 Ta 2.80-3.00
Hg 0.5000 0.5000 0.2590  4 Hg 3.00, 2 Ta 3.03, 2 Ca 3.14

Calculated formation energy   0.281 eV/atom
Total magnetization   0.0 μB/cell
Space group   No. 35

***

Record 5
The following is a DFT calculation (PBE) of Zn8Ni2Ir after structural relaxation.

a = 6.9646 Å, b = 6.9646 Å, c = 6.2471 Å
α = 111.21°, β = 111.21°, γ = 32.18°
Last column: nearest neighbours and their distance in Å.
Atoms (fractional coordinates):
Zn 0.0430 0.0430 0.2311  7 Zn 2.60-2.73, 1 Ni 2.67, 2 Ir 2.76
Zn 0.1446 0.1446 0.7004  3 Ni 2.53-2.62, 7 Zn 2.67-2.82, 2 Ir 2.69
Zn 0.3201 0.3201 0.5933  3 Ni 2.56-2.71, 8 Zn 2.60-2.82, 1 Ir 2.68
Zn 0.3928 0.3928 0.0439  3 Ni 2.51-2.57, 5 Zn 2.61-2.71, 1 Ir 2.66
Zn 0.6072 0.6072 0.9561  3 Ni 2.51-2.57, 5 Zn 2.61-2.71, 1 Ir 2.66
Zn 0.6799 0.6799 0.4067  3 Ni 2.56-2.71, 8 Zn 2.60-2.82, 1 Ir 2.68
Zn 0.8554 0.8554 0.2996  3 Ni 2.53-2.62, 7 Zn 2.67-2.82, 2 Ir 2.69
Zn 0.9570 0.9570 0.7689  7 Zn 2.60-2.73, 1 Ni 2.67, 2 Ir 2.76
Ni 0.2258 0.2258 0.1525  10 Zn 2.51-2.71
Ni 0.7742 0.7742 0.8475  10 Zn 2.51-2.71
Ir 0.5000 0.5000 0.5000  12 Zn 2.66-2.76

Calculated formation energy   -0.178 eV/atom
Total magnetization   0.0 μB/cell
Space group   No. 12
Excess energy over the best structure of this formula in the dataset   0 meV/atom

***

Record 6
The following is a DFT calculation (PBE) of PuCd2Cu after structural relaxation.

a = 3.0690 Å, b = 3.0690 Å, c = 8.6579 Å
α = 90.00°, β = 90.00°, γ = 90.00°
Last column: nearest neighbours and their distance in Å.
Atoms (fractional coordinates):
Pu 0.0000 0.0000 0.0000  4 Pu 3.07, 8 Cd 3.36
Cd 0.5000 0.5000 0.2961  4 Cu 2.80, 4 Cd 3.07
Cd 0.5000 0.5000 0.7039  4 Cu 2.80, 4 Cd 3.07
Cu 0.0000 0.0000 0.5000  8 Cd 2.80, 4 Cu 3.07

Calculated formation energy   0.006 eV/atom
Total magnetization   5.8 μB/cell
Space group   No. 123
Excess energy over the best structure of this formula in the dataset   0 meV/atom

***

Record 7
The following is a DFT calculation (PBE) of MnNb2Pb after structural relaxation.

a = 10.4791 Å, b = 10.4791 Å, c = 10.4791 Å
α = 158.55°, β = 158.55°, γ = 30.52°
Last column: nearest neighbours and their distance in Å.
Atoms (fractional coordinates):
Mn 0.0000 0.0000 0.0000  4 Pb 2.76, 4 Nb 2.87
Mn 0.7500 0.2500 0.5000  4 Pb 2.76, 4 Nb 2.87
Nb 0.1196 0.6250 0.9946  4 Nb 2.73-2.79, 2 Mn 2.87, 2 Pb 2.89
Nb 0.3750 0.3696 0.4946  4 Nb 2.73-2.79, 2 Mn 2.87, 2 Pb 2.89
Nb 0.6304 0.1250 0.0054  4 Nb 2.73-2.79, 2 Mn 2.87, 2 Pb 2.89
Nb 0.8750 0.8804 0.5054  4 Nb 2.73-2.79, 2 Mn 2.87, 2 Pb 2.89
Pb 0.2500 0.7500 0.5000  4 Mn 2.76, 4 Nb 2.89
Pb 0.5000 0.5000 0.0000  4 Mn 2.76, 4 Nb 2.89

Calculated formation energy   0.896 eV/atom
Total magnetization   0.7 μB/cell
Space group   No. 122
Excess energy over the best structure of this formula in the dataset   316 meV/atom

***

Record 8
The following is a DFT calculation (PBE) of VHg after structural relaxation.

a = 3.1959 Å, b = 3.1959 Å, c = 6.9588 Å
α = 90.00°, β = 90.00°, γ = 90.00°
Last column: nearest neighbours and their distance in Å.
Atoms (fractional coordinates):
V 0.2500 0.2500 0.0747  4 V 2.49
V 0.7500 0.7500 0.9253  4 V 2.49
Hg 0.2500 0.2500 0.6547  5 V 2.92-2.94, 8 Hg 3.12-3.20
Hg 0.7500 0.7500 0.3453  5 V 2.92-2.94, 8 Hg 3.12-3.20

Calculated formation energy   0.267 eV/atom
Total magnetization   0.0 μB/cell
Space group   No. 129

***

Record 9
The following is a DFT calculation (PBE) of KSc2CdB after structural relaxation.

a = 4.8756 Å, b = 4.8756 Å, c = 4.9316 Å
α = 90.00°, β = 90.00°, γ = 90.00°
Last column: nearest neighbours and their distance in Å.
Atoms (fractional coordinates):
K 0.0000 0.0000 0.0000  4 Cd 3.45, 8 Sc 3.47
Sc 0.0000 0.5000 0.5000  2 B 2.44
Sc 0.5000 0.0000 0.5000  2 B 2.44
Cd 0.5000 0.5000 0.0000  2 B 2.47
B 0.5000 0.5000 0.5000  4 Sc 2.44, 2 Cd 2.47

Calculated formation energy   0.346 eV/atom
Total magnetization   0.0 μB/cell
Space group   No. 123

***

Record 10
The following is a DFT calculation (PBE) of Cs2Ca3PrF12 after structural relaxation.

a = 8.4899 Å, b = 8.4899 Å, c = 8.4899 Å
α = 58.20°, β = 58.20°, γ = 58.20°
Last column: nearest neighbours and their distance in Å.
Atoms (fractional coordinates):
Cs 0.1028 0.1028 0.1028  3 F 3.26
Cs 0.8972 0.8972 0.8972  3 F 3.26
Ca 0.0000 0.5000 0.5000  6 F 2.26
Ca 0.5000 0.0000 0.5000  6 F 2.26
Ca 0.5000 0.5000 0.0000  6 F 2.26
Pr 0.5000 0.5000 0.5000  6 F 2.30
F 0.1725 0.1725 0.5880  2 Ca 2.26
F 0.1726 0.5709 0.5709  1 Ca 2.26, 1 Pr 2.30
F 0.1725 0.5880 0.1725  2 Ca 2.26
F 0.4120 0.8275 0.8275  2 Ca 2.26
F 0.4291 0.4291 0.8274  1 Ca 2.26, 1 Pr 2.30
F 0.4291 0.8274 0.4291  1 Ca 2.26, 1 Pr 2.30
F 0.5709 0.1726 0.5709  1 Ca 2.26, 1 Pr 2.30
F 0.5709 0.5709 0.1726  1 Ca 2.26, 1 Pr 2.30
F 0.5880 0.1725 0.1725  2 Ca 2.26
F 0.8275 0.4120 0.8275  2 Ca 2.26
F 0.8274 0.4291 0.4291  1 Ca 2.26, 1 Pr 2.30
F 0.8275 0.8275 0.4120  2 Ca 2.26

Total magnetization   1.3 μB/cell
Space group   No. 166
Formation energy (no corrections)   -3412.8 meV/atom

***

Record 11
The following is a DFT calculation (PBE) of Y3BiSe after structural relaxation.

a = 8.1547 Å, b = 4.2141 Å, c = 8.6991 Å
α = 90.00°, β = 98.01°, γ = 90.00°
Last column: nearest neighbours and their distance in Å.
Atoms (fractional coordinates):
Y 0.0825 0.2500 0.3294  3 Se 2.84-2.85
Y 0.3241 0.2500 0.9664  1 Se 2.85, 2 Bi 3.18
Y 0.3818 0.7500 0.6232  2 Se 2.87, 2 Bi 3.16
Y 0.6182 0.2500 0.3768  2 Se 2.87, 2 Bi 3.16
Y 0.6759 0.7500 0.0336  1 Se 2.85, 2 Bi 3.18
Y 0.9175 0.7500 0.6706  3 Se 2.84-2.85
Bi 0.3467 0.7500 0.2429  8 Y 3.16-3.45
Bi 0.6533 0.2500 0.7571  8 Y 3.16-3.45
Se 0.1503 0.2500 0.6581  6 Y 2.84-2.87
Se 0.8497 0.7500 0.3419  6 Y 2.84-2.87

Total magnetization   0.0 μB/cell
Space group   No. 11
Formation energy (no corrections)   -1032.1 meV/atom
Excess energy over the best structure of this formula in the dataset   41 meV/atom

***

Record 12
The following is a DFT calculation (PBE) of HfTl3Cl after structural relaxation.

a = 5.7714 Å, b = 5.7714 Å, c = 5.7714 Å
α = 90.00°, β = 90.00°, γ = 90.00°
Last column: nearest neighbours and their distance in Å.
Atoms (fractional coordinates):
Hf 0.0000 0.0000 0.0000  6 Tl 2.89
Tl 0.0000 0.0000 0.5000  2 Hf 2.89
Tl 0.0000 0.5000 0.0000  2 Hf 2.89
Tl 0.5000 0.0000 0.0000  2 Hf 2.89
Cl 0.5000 0.5000 0.5000  12 Tl 4.08

Total magnetization   3.1 μB/cell
Space group   No. 221
Formation energy (no corrections)   398.1 meV/atom
Excess energy over the best structure of this formula in the dataset   0 meV/atom

***

Record 13
The following is a DFT calculation (PBE) of Ca2CuCl after structural relaxation.

a = 5.2379 Å, b = 5.2379 Å, c = 5.2379 Å
α = 60.00°, β = 60.00°, γ = 60.00°
Last column: nearest neighbours and their distance in Å.
Atoms (fractional coordinates):
Ca 0.2500 0.2500 0.2500  4 Cl 3.21, 4 Cu 3.21
Ca 0.7500 0.7500 0.7500  4 Cl 3.21, 4 Cu 3.21
Cu 0.0000 0.0000 0.0000  8 Ca 3.21
Cl 0.5000 0.5000 0.5000  8 Ca 3.21

Total magnetization   0.0 μB/cell
Space group   No. 225
Formation energy (no corrections)   -541.3 meV/atom
Excess energy over the best structure of this formula in the dataset   293 meV/atom

***

Record 14
The following is a DFT calculation (PBE) of NaLiInGe after structural relaxation.

a = 4.6471 Å, b = 4.6471 Å, c = 5.1500 Å
α = 90.00°, β = 90.00°, γ = 120.00°
Last column: nearest neighbours and their distance in Å.
Atoms (fractional coordinates):
Na 0.0000 0.0000 0.0000  3 Li 2.99, 3 Ge 2.99
Li 0.6667 0.3333 0.7448  2 Ge 2.51-2.64
In 0.3333 0.6667 0.4378  3 Ge 2.84, 3 Li 3.11
Ge 0.6667 0.3333 0.2570  2 Li 2.51-2.64

Calculated formation energy   -0.085 eV/atom
Total magnetization   0.0 μB/cell
Space group   No. 156
Excess energy over the best structure of this formula in the dataset   9 meV/atom